Entry 1:
An optimized crystal structure of TlCu2P2. Source: the Open Quantum Materials Database, functional PBE-GGA.

Output
SG: Cmcm (63)
DFT total energy: -4.093 eV/atom

a = 5.7018 Å, b = 5.7018 Å, c = 10.7062 Å
α = 90.00°, β = 90.00°, γ = 146.70°
Positions (direct):
Cu 0.5000 0.5000 0.0000
Cu 0.7186 0.2814 0.7500
Tl 0.9762 0.0238 0.7500
Tl 0.0238 0.9762 0.2500
P 0.6980 0.3020 0.5448
P 0.6980 0.3020 0.9552
P 0.3020 0.6980 0.0448
P 0.3020 0.6980 0.4552
Cu 0.5000 0.5000 0.5000
Cu 0.2814 0.7186 0.2500



Entry 2:
An optimized crystal structure of PrNiIr. Source: the Open Quantum Materials Database, functional PBE-GGA.

Output
Formation energy: -0.02 eV per atom
SG: F-43m (216)
Magnetization: 0.3 μB per cell

a = 4.4245 Å, b = 4.4245 Å, c = 4.4245 Å
α = 60.00°, β = 60.00°, γ = 60.00°
Positions (direct):
Pr 0.7500 0.7500 0.7500
Ir 0.2500 0.2500 0.2500
Ni 0.0000 0.0000 0.0000